No. 1
Li2CuReH6, optimized geometry, DFT PBE-GGA; raw total energy = -3.910 eV per atom; space-group type = Fm-3m; V = 82 Å³ per cell
1.0
0.000 3.449 3.449
3.449 0.000 3.449
3.449 3.449 0.000
Li Cu Re H
2 1 1 6
Cartesian
1.724 1.724 1.724 Li
5.173 5.173 5.173 Li
0.000 0.000 0.000 Cu
3.449 3.449 3.449 Re
3.449 3.449 1.694 H
3.449 1.694 3.449 H
5.203 3.449 3.449 H
1.694 3.449 3.449 H
3.449 5.203 3.449 H
3.449 3.449 5.203 H

=====

No. 2
Sr2LiCuH6, optimized geometry, DFT PBE-GGA; raw total energy = -3.322 eV per atom; space-group type = P-1; V = 210 Å³ per cell
1.0
5.296 0.000 0.000
0.000 5.296 0.000
0.000 0.001 7.491
Sr Li Cu H
4 2 2 12
Cartesian
0.000 5.295 1.873 Sr
5.296 0.002 5.619 Sr
2.648 2.647 1.873 Sr
2.648 2.650 5.619 Sr
0.000 2.648 0.000 Li
2.648 0.000 3.746 Li
0.000 2.648 3.746 Cu
2.648 0.000 0.000 Cu
0.005 2.644 1.924 H
1.268 3.958 3.747 H
1.307 1.382 3.750 H
1.348 1.277 7.487 H
1.372 3.997 7.489 H
2.644 0.001 1.821 H
2.653 5.296 5.670 H
3.924 1.299 0.002 H
3.948 4.020 0.004 H
3.989 3.914 3.741 H
4.028 1.339 3.744 H
5.292 2.653 5.567 H

=====

No. 3
Sr2LiCuH6, optimized geometry, DFT PBE-GGA; raw total energy = -3.323 eV per atom; space-group type = C2/m; V = 105 Å³ per cell
1.0
4.588 -2.651 0.000
4.588 2.651 0.000
-3.059 0.000 4.327
Sr Li Cu H
2 1 1 6
Cartesian
1.529 0.000 1.081 Sr
4.587 0.000 3.246 Sr
-1.530 0.000 2.164 Li
4.588 0.000 0.000 Cu
3.836 1.288 1.045 H
0.048 0.000 3.265 H
2.280 1.288 3.282 H
3.836 -1.288 1.045 H
6.068 0.000 1.062 H
2.280 -1.288 3.282 H

=====

No. 4
MgCuH3, optimized geometry, DFT PBE-GGA; raw total energy = -3.120 eV per atom; space-group type = P3_2; V = 148 Å³ per cell
1.0
4.842 0.000 0.000
-2.421 4.193 0.000
0.000 0.000 7.275
Mg Cu H
3 3 9
Cartesian
-1.825 3.315 0.000 Mg
0.462 0.955 4.850 Mg
1.363 4.116 2.425 Mg
-0.797 2.738 3.250 Cu
0.448 2.134 0.825 Cu
0.349 3.514 5.675 Cu
-0.033 0.605 0.996 H
-1.881 3.920 3.421 H
-0.250 2.210 6.553 H
-0.382 3.305 1.703 H
1.855 0.568 6.120 H
0.632 2.872 4.128 H
1.986 2.303 1.270 H
1.914 3.862 5.845 H
3.422 1.322 3.695 H

=====

Question: raw total energy of number 3 (Sr2LiCuH6)?
Answer: -3.323 eV per atom

=====

Question: Which formula does entry 4 have?
Answer: MgCuH3